A plane-wave DFT calculation with PBE was carried out for crystalline Tb2Pm3Pr3 at its relaxed geometry.

Unit cell a=5.901 b=14.780 c=6.382 alpha=90.00 beta=90.00 gamma=90.00
Space group Pmmn (No. 59, origin choice 2)
Unique sites:
Tb  0.250  0.126  0.164 [4 per cell]
Pm  0.250  0.250  0.663 [2 per cell]
Pm  0.250  0.625  0.168 [4 per cell]
Pr  0.250  0.000  0.668 [4 per cell]
Pr  0.250  0.750  0.670 [2 per cell]

Results
Its energy above the most stable polymorph in this dataset is 0.000 eV per atom. The formation energy comes out at 0.032 eV per atom.